A plane-wave DFT calculation with GGA-PBE was carried out for an optimized crystal structure of Tb6Dy12Y.

Output
**Total DFT energy (no corrections)**: -4.26 eV/atom
**Relative energy among the computed polymorphs**: 291 meV/atom
**Symmetry**: R-3m, No. 166
**ρ**: 7.6 Mg/m³

a = 9.377 Å, b = 9.377 Å, c = 9.377 Å
α = 108.69°, β = 108.69°, γ = 108.69°
Fractional coordinates of all 19 atoms:
1 Dy 0.159 0.369 0.369
2 Dy 0.891 0.500 0.109
3 Dy 0.369 0.159 0.369
4 Dy 0.500 0.109 0.891
5 Dy 0.500 0.891 0.109
6 Dy 0.109 0.500 0.891
7 Dy 0.841 0.631 0.631
8 Dy 0.631 0.841 0.631
9 Dy 0.109 0.891 0.500
10 Dy 0.369 0.369 0.159
11 Dy 0.891 0.109 0.500
12 Dy 0.631 0.631 0.841
13 Tb 0.754 0.323 0.323
14 Tb 0.246 0.677 0.677
15 Tb 0.323 0.323 0.754
16 Tb 0.677 0.246 0.677
17 Tb 0.677 0.677 0.246
18 Tb 0.323 0.754 0.323
19 Y 0.000 0.000 0.000